First-principles (PBE) data for crystalline ZnRe2Mo at its relaxed geometry, as listed in the Alexandria database.

Lattice parameters (Å, degrees): 3.8709 3.8709 7.9752 90.00 90.00 90.00
Space group I-4m2 (No. 119)
Asymmetric unit:
Zn1 0.0000 0.0000 0.0000
Re1 0.0000 0.0000 0.5000
Re2 0.0000 0.5000 0.2500
Mo1 0.0000 0.5000 0.7500

Summary:
**DFT formation energy**: 0.260 eV per atom
**Calculated volume**: 14.9 Å³ per atom
**Electronic total energy**: -8.99 eV per atom
**Spin magnetization**: 0.000 Bohr magnetons per cell
**DOS at the Fermi energy**: 1.0141 states/eV/atom